# 1
VASP calculation (PBE-GGA) on NaLuMg after structural relaxation.

Unit cell a=7.474 b=7.474 c=7.474 alpha=90.00 beta=90.00 gamma=90.00
Space group F-43m (No. 216)
Symmetry-distinct sites (fractional):
Na1 0.000 0.000 0.000 (multiplicity 4)
Lu1 0.250 0.250 0.750 (multiplicity 4)
Mg1 0.000 0.000 0.500 (multiplicity 4)

- Raw total energy: -0.0623 Ha/atom

# 2
VASP calculation (PBE-GGA) on NaLuMgS3 after structural relaxation.

Unit cell a=7.847 b=3.972 c=10.254 alpha=90.00 beta=107.20 gamma=90.00
Space group P2_1/m (No. 11)
Symmetry-distinct sites (fractional):
Na1 0.181 0.250 0.148 (multiplicity 2)
Lu1 0.332 0.750 0.859 (multiplicity 2)
Mg1 0.061 0.250 0.614 (multiplicity 2)
S1 0.088 0.250 0.853 (multiplicity 2)
S2 0.219 0.750 0.576 (multiplicity 2)
S3 0.437 0.750 0.132 (multiplicity 2)

- Raw total energy: -0.1802 Ha/atom

# 3
VASP calculation (PBE-GGA) on NaLuMgS3 after structural relaxation.

Unit cell a=3.944 b=13.231 c=10.615 alpha=90.00 beta=90.00 gamma=90.00
Space group Cmcm (No. 63)
Symmetry-distinct sites (fractional):
Na1 0.000 0.245 0.250 (multiplicity 4)
Lu1 0.000 0.500 0.000 (multiplicity 4)
Mg1 0.000 0.031 0.750 (multiplicity 4)
S1 0.000 0.128 0.562 (multiplicity 8)
S2 0.000 0.424 0.750 (multiplicity 4)

- Raw total energy: -0.1788 Ha/atom

# 4
VASP calculation (PBE-GGA) on NaLuMgS3 after structural relaxation.

Unit cell a=13.383 b=3.962 c=10.726 alpha=90.00 beta=90.00 gamma=90.00
Space group Pnma (No. 62)
Symmetry-distinct sites (fractional):
Na1 0.245 0.250 0.061 (multiplicity 4)
Lu1 0.025 0.250 0.351 (multiplicity 4)
Mg1 0.015 0.750 0.101 (multiplicity 4)
S1 0.089 0.750 0.887 (multiplicity 4)
S2 0.100 0.250 0.576 (multiplicity 4)
S3 0.139 0.750 0.258 (multiplicity 4)

- Raw total energy: -0.1790 Ha/atom

# 5
VASP calculation (PBE-GGA) on Lu2MgNb after structural relaxation.

Unit cell a=7.188 b=7.188 c=7.188 alpha=90.00 beta=90.00 gamma=90.00
Space group F-43m (No. 216)
Symmetry-distinct sites (fractional):
Lu1 0.000 0.000 0.000 (multiplicity 4)
Lu2 0.250 0.250 0.250 (multiplicity 4)
Mg1 0.250 0.250 0.750 (multiplicity 4)
Nb1 0.000 0.000 0.500 (multiplicity 4)

- Raw total energy: -0.1779 Ha/atom

# 6
VASP calculation (PBE-GGA) on LuMgNb2 after structural relaxation.

Unit cell a=6.891 b=6.891 c=6.891 alpha=90.00 beta=90.00 gamma=90.00
Space group F-43m (No. 216)
Symmetry-distinct sites (fractional):
Lu1 0.000 0.000 0.000 (multiplicity 4)
Mg1 0.250 0.250 0.750 (multiplicity 4)
Nb1 0.000 0.000 0.500 (multiplicity 4)
Nb2 0.250 0.250 0.250 (multiplicity 4)

- Raw total energy: -0.2323 Ha/atom

# 7
VASP calculation (PBE-GGA) on LuMgNbOs after structural relaxation.

Unit cell a=6.677 b=6.677 c=6.677 alpha=90.00 beta=90.00 gamma=90.00
Space group F-43m (No. 216)
Symmetry-distinct sites (fractional):
Lu1 0.000 0.000 0.000 (multiplicity 4)
Mg1 0.250 0.250 0.250 (multiplicity 4)
Nb1 0.000 0.000 0.500 (multiplicity 4)
Os1 0.250 0.250 0.750 (multiplicity 4)

- Raw total energy: -0.2531 Ha/atom

# 8
VASP calculation (PBE-GGA) on LuMgNbOs after structural relaxation.

Unit cell a=6.619 b=6.619 c=6.619 alpha=90.00 beta=90.00 gamma=90.00
Space group F-43m (No. 216)
Symmetry-distinct sites (fractional):
Lu1 0.000 0.000 0.000 (multiplicity 4)
Mg1 0.250 0.250 0.750 (multiplicity 4)
Nb1 0.250 0.250 0.250 (multiplicity 4)
Os1 0.000 0.000 0.500 (multiplicity 4)

- Raw total energy: -0.2517 Ha/atom

What did the second record say?
VASP calculation (PBE-GGA) on NaLuMgS3 after structural relaxation.

Unit cell a=7.847 b=3.972 c=10.254 alpha=90.00 beta=107.20 gamma=90.00
Space group P2_1/m (No. 11)
Symmetry-distinct sites (fractional):
Na1 0.181 0.250 0.148 (multiplicity 2)
Lu1 0.332 0.750 0.859 (multiplicity 2)
Mg1 0.061 0.250 0.614 (multiplicity 2)
S1 0.088 0.250 0.853 (multiplicity 2)
S2 0.219 0.750 0.576 (multiplicity 2)
S3 0.437 0.750 0.132 (multiplicity 2)

- Raw total energy: -0.1802 Ha/atom

Which of these has the lowest raw total energy? number 7

Which value of raw total energy does entry 3 give? -0.1788 Ha/atom

Repeat the sixth record exactly.
VASP calculation (PBE-GGA) on LuMgNb2 after structural relaxation.

Unit cell a=6.891 b=6.891 c=6.891 alpha=90.00 beta=90.00 gamma=90.00
Space group F-43m (No. 216)
Symmetry-distinct sites (fractional):
Lu1 0.000 0.000 0.000 (multiplicity 4)
Mg1 0.250 0.250 0.750 (multiplicity 4)
Nb1 0.000 0.000 0.500 (multiplicity 4)
Nb2 0.250 0.250 0.250 (multiplicity 4)

- Raw total energy: -0.2323 Ha/atom